1.
10
Lattice="5.937 0.000 0.000 0.000 5.331 0.000 -2.960 0.000 8.602" Properties=species:S:1:pos:R:3 comment="DyHoSc3, relaxed, DFT PBE" relative_energy_mev_per_atom=0 spacegroup=P2_1/m pbc="T T T"
Dy 0.517 1.333 2.609
Dy 2.460 3.999 5.993
Ho -0.511 3.999 7.729
Ho 3.488 1.333 0.874
Sc -2.491 1.333 7.722
Sc -0.519 3.999 4.285
Sc 0.459 1.333 5.986
Sc 2.518 3.999 2.616
Sc 3.496 1.333 4.317
Sc 5.468 3.999 0.880


2.
5
Lattice="4.695 0.000 0.000 0.000 4.695 0.000 0.000 0.000 4.389" Properties=species:S:1:pos:R:3 comment="YTlN2F, relaxed, DFT PBE" relative_energy_mev_per_atom=0 raw_formation_energy_ev_per_atom=-0.39 spacegroup=P4/mmm pbc="T T T"
Y 0.000 0.000 0.000
Tl 2.347 2.347 2.194
N 0.000 2.347 0.000
N 2.347 0.000 0.000
F 0.000 0.000 2.194


Values for final energy, eV/atom, ordered as above
-5.614 -5.860